No. 1
Material: AcZnSiAg
Method: DFT, PBE-GGA
State: relaxed

Results
The crystal system is cubic.

a = 7.1764 Å, b = 7.1764 Å, c = 7.1764 Å
α = 90.00°, β = 90.00°, γ = 90.00°
With the nearest neighbours (Å) after each atom.
Atoms (fractional coordinates):
Ac: 0.0000 0.0000 0.0000  4 Si 3.11, 4 Zn 3.11
Ac: 0.0000 0.5000 0.5000  4 Si 3.11, 4 Zn 3.11
Ac: 0.5000 0.0000 0.5000  4 Si 3.11, 4 Zn 3.11
Ac: 0.5000 0.5000 0.0000  4 Si 3.11, 4 Zn 3.11
Zn: 0.2500 0.2500 0.2500  4 Ac 3.11, 4 Ag 3.11
Zn: 0.2500 0.7500 0.7500  4 Ac 3.11, 4 Ag 3.11
Zn: 0.7500 0.2500 0.7500  4 Ac 3.11, 4 Ag 3.11
Zn: 0.7500 0.7500 0.2500  4 Ac 3.11, 4 Ag 3.11
Si: 0.2500 0.2500 0.7500  4 Ac 3.11, 4 Ag 3.11
Si: 0.2500 0.7500 0.2500  4 Ac 3.11, 4 Ag 3.11
Si: 0.7500 0.2500 0.2500  4 Ac 3.11, 4 Ag 3.11
Si: 0.7500 0.7500 0.7500  4 Ac 3.11, 4 Ag 3.11
Ag: 0.0000 0.0000 0.5000  4 Si 3.11, 4 Zn 3.11
Ag: 0.0000 0.5000 0.0000  4 Si 3.11, 4 Zn 3.11
Ag: 0.5000 0.0000 0.0000  4 Si 3.11, 4 Zn 3.11
Ag: 0.5000 0.5000 0.5000  4 Si 3.11, 4 Zn 3.11

=====

No. 2
Material: Si2NiHg
Method: DFT, PBE-GGA
State: relaxed

Results
The crystal system is monoclinic.

a = 6.6283 Å, b = 3.8105 Å, c = 6.4367 Å
α = 90.00°, β = 110.36°, γ = 90.00°
With the nearest neighbours (Å) after each atom.
Atoms (fractional coordinates):
Si: 0.0000 0.0000 0.0000  3 Ni 2.26
Si: 0.0899 0.5000 0.7769  3 Ni 2.37, 1 Hg 2.51, 3 Si 2.58-2.60
Si: 0.5000 0.5000 0.0000  3 Ni 2.26
Si: 0.5899 0.0000 0.7769  3 Ni 2.37, 1 Hg 2.51, 3 Si 2.58-2.60
Ni: 0.3056 0.0000 0.9203  6 Si 2.26-2.37
Ni: 0.8056 0.5000 0.9203  6 Si 2.26-2.37
Hg: 0.4473 0.0000 0.3614  1 Si 2.51, 1 Ni 2.66
Hg: 0.9473 0.5000 0.3614  1 Si 2.51, 1 Ni 2.66

=====

No. 3
Material: Ca2AlOs
Method: DFT, PBE-GGA
State: relaxed

Results
The energy relative to the elements is 0.33 eV per atom. The crystal system is monoclinic.

a = 2.9150 Å, b = 4.4802 Å, c = 6.5423 Å
α = 90.00°, β = 90.28°, γ = 90.00°
With the nearest neighbours (Å) after each atom.
Atoms (fractional coordinates):
Ca: 0.0025 0.0000 0.2605  3 Ca 2.91-3.13, 4 Os 3.09-3.10, 4 Al 3.17
Ca: 0.9975 0.0000 0.7395  3 Ca 2.91-3.13, 4 Os 3.09-3.10, 4 Al 3.17
Al: 0.5000 0.5000 0.0000  2 Al 2.91, 8 Ca 3.17
Os: 0.5000 0.5000 0.5000  2 Os 2.91, 8 Ca 3.09-3.10

=====

Results for E_tot: -56.54 -34.58 -17.65 (in eV per cell, following the order of the records).